#i
LaAgW2 | GGA-PBEsol | optimized geometry

Structure (POSCAR):
```
LaAgW2
1.0
3.2315 0.0000 0.0000
0.0000 3.2315 0.0000
0.0000 0.0000 7.6929
La Ag W
1 1 2
direct
0.0000 0.0000 0.0000
0.5000 0.5000 0.6897
0.0000 0.0000 0.4572
0.5000 0.5000 0.2936
```

Results
density of states at the Fermi level: 5.065 states/eV per cell
total magnetic moment: 0.00 Bohr magnetons per cell

=====

#ii
LaAgW2 | GGA-PBEsol | optimized geometry

Structure (POSCAR):
```
LaAgW2
1.0
2.7743 0.0000 0.0000
0.0000 2.7743 0.0000
0.0000 0.0000 9.6603
La Ag W
1 1 2
direct
0.0000 0.0000 0.0000
0.5000 0.5000 0.7174
0.0000 0.0000 0.5008
0.5000 0.5000 0.2745
```

Results
density of states at the Fermi level: 2.446 states/eV per cell
total magnetic moment: 0.00 Bohr magnetons per cell

=====

Stability ranking, top and bottom: #i is the most stable and #ii is the least stable.

=====

#i
La2AgW | GGA-PBEsol | optimized geometry

Structure (POSCAR):
```
La2AgW
1.0
3.1931 0.0000 0.0000
0.0000 3.6502 0.0000
0.0000 0.0000 8.3314
La Ag W
2 1 1
direct
0.0000 0.0000 0.2324
0.0000 0.0000 0.7676
0.5000 0.5000 0.5000
0.5000 0.5000 0.0000
```

Results
density of states at the Fermi level: 3.608 states/eV per cell
total magnetic moment: 0.00 Bohr magnetons per cell

=====

#ii
La2AgW | GGA-PBEsol | optimized geometry

Structure (POSCAR):
```
La2AgW
1.0
5.7192 -1.5244 0.0000
5.7192 1.5244 0.0000
-1.2234 0.0000 5.3846
La Ag W
2 1 1
direct
0.0000 0.0000 0.0000
0.1913 0.1913 0.6238
0.7605 0.7605 0.1633
0.4394 0.4394 0.4843
```

Results
density of states at the Fermi level: 3.615 states/eV per cell
total magnetic moment: 0.00 Bohr magnetons per cell

=====

Stability ranking, top and bottom: #i is the most stable and #ii is the least stable.

=====

#i
LaAg2W | GGA-PBEsol | optimized geometry

Structure (POSCAR):
```
LaAg2W
1.0
4.2238 0.0000 0.0000
0.0000 4.2238 0.0000
0.0000 0.0000 4.3807
La Ag W
1 2 1
direct
0.0000 0.0000 0.0000
0.0000 0.5000 0.5000
0.5000 0.0000 0.5000
0.5000 0.5000 0.0000
```

Results
density of states at the Fermi level: 3.446 states/eV per cell
total magnetic moment: 0.00 Bohr magnetons per cell

=====

#ii
LaAg2W | GGA-PBEsol | optimized geometry

Structure (POSCAR):
```
LaAg2W
1.0
-1.4589 2.6421 5.1207
1.4589 -2.6421 5.1207
1.4589 2.6421 -5.1207
La Ag W
1 2 1
direct
0.0000 0.0000 0.0000
0.4897 0.4897 0.0000
0.7232 0.2232 0.5000
0.2568 0.7568 0.5000
```

Results
density of states at the Fermi level: 3.516 states/eV per cell
total magnetic moment: 0.00 Bohr magnetons per cell

=====

Stability ranking, top and bottom: #i is the most stable and #ii is the least stable.

=====

#i
LaY2Ag | GGA-PBEsol | optimized geometry

Structure (POSCAR):
```
LaY2Ag
1.0
-1.8364 2.7439 5.6144
1.8364 -2.7439 5.6144
1.8364 2.7439 -5.6144
La Y Ag
1 2 1
direct
0.0000 0.0000 0.0000
0.2840 0.7840 0.5000
0.7160 0.2160 0.5000
0.5000 0.5000 0.0000
```

Results
density of states at the Fermi level: 5.372 states/eV per cell
total magnetic moment: 0.00 Bohr magnetons per cell

=====

#ii
LaY2Ag | GGA-PBEsol | optimized geometry

Structure (POSCAR):
```
LaY2Ag
1.0
3.6073 0.0000 0.0000
0.0000 3.6073 0.0000
0.0000 0.0000 8.7220
La Y Ag
1 2 1
direct
0.0000 0.0000 0.0000
0.0000 0.0000 0.5706
0.5000 0.5000 0.2924
0.5000 0.5000 0.7622
```

Results
density of states at the Fermi level: 6.065 states/eV per cell
total magnetic moment: 0.00 Bohr magnetons per cell

=====

#iii
LaY2Ag | GGA-PBEsol | optimized geometry

Structure (POSCAR):
```
LaY2Ag
1.0
-1.8610 2.6743 5.5938
1.8610 -2.6743 5.5938
1.8610 2.6743 -5.5938
La Y Ag
1 2 1
direct
0.0000 0.0000 0.0000
0.4349 0.4349 0.0000
0.7183 0.2183 0.5000
0.2292 0.7292 0.5000
```

Results
density of states at the Fermi level: 5.548 states/eV per cell
total magnetic moment: 0.00 Bohr magnetons per cell

=====

Stability ranking, top and bottom: #ii is the most stable and #iii is the least stable.

=====

#i
LaZr2Ag | GGA-PBEsol | optimized geometry

Structure (POSCAR):
```
LaZr2Ag
1.0
3.2778 0.0000 0.0000
0.0000 3.2778 0.0000
0.0000 0.0000 8.7890
La Zr Ag
1 2 1
direct
0.0000 0.0000 0.0000
0.0000 0.0000 0.5318
0.5000 0.5000 0.3004
0.5000 0.5000 0.7366
```

Results
density of states at the Fermi level: 3.865 states/eV per cell
total magnetic moment: 0.00 Bohr magnetons per cell

=====

#ii
LaZr2Ag | GGA-PBEsol | optimized geometry

Structure (POSCAR):
```
LaZr2Ag
1.0
-2.1946 2.1946 4.7386
2.1946 -2.1946 4.7386
2.1946 2.1946 -4.7386
La Zr Ag
1 2 1
direct
0.0000 0.0000 0.0000
0.2500 0.7500 0.5000
0.7500 0.2500 0.5000
0.5000 0.5000 0.0000
```

Results
density of states at the Fermi level: 5.402 states/eV per cell
total magnetic moment: 0.00 Bohr magnetons per cell

=====

#iii
LaZr2Ag | GGA-PBEsol | optimized geometry

Structure (POSCAR):
```
LaZr2Ag
1.0
3.2128 0.0000 0.0000
0.0000 5.2611 0.0000
-0.7836 0.0000 5.4800
La Zr Ag
1 2 1
direct
0.0000 0.0000 0.0000
0.3016 0.5000 0.7325
0.6984 0.5000 0.2675
0.5000 0.0000 0.5000
```

Results
density of states at the Fermi level: 4.583 states/eV per cell
total magnetic moment: 0.00 Bohr magnetons per cell

=====

Stability ranking, top and bottom: #i is the most stable and #ii is the least stable.

=====

#i
La2ZrAg | GGA-PBEsol | optimized geometry

Structure (POSCAR):
```
La2ZrAg
1.0
0.0000 3.6421 3.6421
3.6421 0.0000 3.6421
3.6421 3.6421 0.0000
La Zr Ag
2 1 1
direct
0.0000 0.0000 0.0000
0.2500 0.2500 0.2500
0.7500 0.7500 0.7500
0.5000 0.5000 0.5000
```

Results
density of states at the Fermi level: 7.023 states/eV per cell
total magnetic moment: 0.11 Bohr magnetons per cell

=====

#ii
La2ZrAg | GGA-PBEsol | optimized geometry

Structure (POSCAR):
```
La2ZrAg
1.0
3.9324 -3.9456 0.0000
3.9324 3.9456 0.0000
0.0000 0.0000 3.3766
La Zr Ag
2 1 1
direct
0.0000 0.5000 0.0000
0.5000 0.0000 0.0000
0.0000 0.0000 0.5000
0.5000 0.5000 0.5000
```

Results
density of states at the Fermi level: 4.230 states/eV per cell
total magnetic moment: 0.00 Bohr magnetons per cell

=====

Stability ranking, top and bottom: #ii is the most stable and #i is the least stable.

=====

#i
Li4Ag5 | GGA-PBEsol | optimized geometry

Structure (POSCAR):
```
Li4Ag5
1.0
7.6796 0.0000 0.0000
-3.8398 6.6507 0.0000
0.0000 0.0000 5.4873
Li Ag
8 10
direct
0.0000 0.0000 0.0000
0.0000 0.0000 0.5000
0.0000 0.3542 0.2500
0.0000 0.6458 0.7500
0.3542 0.0000 0.2500
0.3542 0.3542 0.7500
0.6458 0.0000 0.7500
0.6458 0.6458 0.2500
0.0000 0.3148 0.7500
0.0000 0.6852 0.2500
0.3148 0.0000 0.7500
0.3148 0.3148 0.2500
0.3333 0.6667 0.0000
0.3333 0.6667 0.5000
0.6667 0.3333 0.0000
0.6667 0.3333 0.5000
0.6852 0.0000 0.2500
0.6852 0.6852 0.7500
```

Results
density of states at the Fermi level: 4.598 states/eV per cell
total magnetic moment: 0.00 Bohr magnetons per cell

=====

#ii
Li4Ag5 | GGA-PBEsol | optimized geometry

Structure (POSCAR):
```
Li4Ag5
1.0
-4.2236 4.2236 2.0205
4.2236 -4.2236 2.0205
4.2236 4.2236 -2.0205
Li Ag
4 5
direct
0.0000 0.3168 0.3168
0.0000 0.6832 0.6832
0.3168 0.0000 0.3168
0.6832 0.0000 0.6832
0.0000 0.0000 0.0000
0.3308 0.3308 0.6616
0.3308 0.6692 0.0000
0.6692 0.3308 0.0000
0.6692 0.6692 0.3384
```

Results
density of states at the Fermi level: 2.832 states/eV per cell
total magnetic moment: 0.00 Bohr magnetons per cell

=====

Stability ranking, top and bottom: #ii is the most stable and #i is the least stable.

=====

#i
LiMgAg | GGA-PBEsol | optimized geometry

Structure (POSCAR):
```
LiMgAg
1.0
-1.5405 1.8425 4.5221
1.5405 -1.8425 4.5221
1.5405 1.8425 -4.5221
Li Mg Ag
1 1 1
direct
0.0000 0.0000 0.0000
0.6831 0.6831 0.0000
0.3519 0.3519 0.0000
```

Results
density of states at the Fermi level: 0.971 states/eV per cell
total magnetic moment: 0.00 Bohr magnetons per cell

=====

#ii
LiMgAg | GGA-PBEsol | optimized geometry

Structure (POSCAR):
```
LiMgAg
1.0
4.5222 0.0000 0.0000
-2.2611 3.9164 0.0000
0.0000 0.0000 2.8954
Li Mg Ag
1 1 1
direct
0.0000 0.0000 0.0000
0.6667 0.3333 0.3546
0.3333 0.6667 0.7607
```

Results
density of states at the Fermi level: 1.088 states/eV per cell
total magnetic moment: 0.00 Bohr magnetons per cell

=====

Stability ranking, top and bottom: #i is the most stable and #ii is the least stable.